Ba2PmNdSe4 after structural relaxation. Source: Alexandria via LeMat-Bulk, functional PBE.

Properties
ΔE_f (raw): -1914.5 meV/atom

a b c (Å): 4.3878 7.5810 7.8583
angles (deg): 108.84 90.00 90.00
Sites, in units of the cell vectors:
Ba: 0.0000 0.5000 0.5000
Se: 0.0000 0.7423 0.2219
Nd: 0.5000 0.5000 0.0000
Se: 0.0000 0.2577 0.7781
Se: 0.5000 0.7609 0.7790
Se: 0.5000 0.2391 0.2210
Pm: 0.0000 0.0000 0.0000
Ba: 0.5000 0.0000 0.5000

ZrMo2Ir after structural relaxation. Source: Alexandria via LeMat-Bulk, functional PBE.

Properties
E_form: -4.35 kcal/mol of atoms

a b c (Å): 3.3250 4.3688 4.6482
angles (deg): 90.00 90.00 90.00
Sites, in units of the cell vectors:
Mo: 0.0000 0.0000 0.0000
Zr: 0.5000 0.0000 0.5000
Ir: 0.0000 0.5000 0.5000
Mo: 0.5000 0.5000 0.0000

LaDyPdAu after structural relaxation. Source: Alexandria via LeMat-Bulk, functional PBE.

Properties
E_form: -18.23 kcal/mol of atoms

a b c (Å): 5.1646 5.1646 5.1646
angles (deg): 60.00 60.00 60.00
Sites, in units of the cell vectors:
Dy: 0.7500 0.7500 0.7500
Pd: 0.5000 0.5000 0.5000
Au: 0.0000 0.0000 0.0000
La: 0.2500 0.2500 0.2500

Mn2AlRe after structural relaxation. Source: Alexandria via LeMat-Bulk, functional PBE.

Properties
E_form: -1.23 kcal/mol of atoms

a b c (Å): 2.6403 3.7931 5.3396
angles (deg): 90.00 90.00 90.00
Site moments in Bohr magnetons follow the coordinates.
Sites, in units of the cell vectors:
Al: 0.5000 0.5000 0.7574  -0.02
Mn: 0.0000 0.0000 0.0010  2.53
Re: 0.0000 0.0000 0.4957  0.17
Mn: 0.5000 0.5000 0.2460  -2.02

Dy3Al9Au2 after structural relaxation. Source: Alexandria via LeMat-Bulk, functional PBE.

Properties
E_form: -11.91 kcal/mol of atoms

a b c (Å): 4.2835 8.2933 8.2933
angles (deg): 76.29 75.03 75.03
Sites, in units of the cell vectors:
Al: 0.8658 0.4130 0.8554
Al: 0.8658 0.8554 0.4130
Al: 0.1342 0.1446 0.5870
Au: 0.5000 0.7109 0.2891
Au: 0.5000 0.2891 0.7109
Al: 0.6612 0.7131 0.9646
Dy: 0.0000 0.0000 0.0000
Al: 0.3388 0.0354 0.2869
Al: 0.1342 0.5870 0.1446
Al: 0.3388 0.2869 0.0354
Al: 0.0000 0.5000 0.5000
Al: 0.6612 0.9646 0.7131
Dy: 0.6885 0.3115 0.3115
Dy: 0.3115 0.6885 0.6885

SrCl3 after structural relaxation. Source: Alexandria via LeMat-Bulk, functional PBE.

Properties
ΔE_f (raw): -1665.2 meV/atom

a b c (Å): 5.7560 5.7560 5.7560
angles (deg): 90.00 90.00 90.00
Site moments in Bohr magnetons follow the coordinates.
Sites, in units of the cell vectors:
Cl: 0.2500 0.5000 0.0000  0.12
Sr: 0.0000 0.0000 0.0000  0.00
Sr: 0.5000 0.5000 0.5000  0.00
Cl: 0.7500 0.5000 0.0000  0.12
Cl: 0.0000 0.2500 0.5000  0.12
Cl: 0.0000 0.7500 0.5000  0.12
Cl: 0.5000 0.0000 0.2500  0.12
Cl: 0.5000 0.0000 0.7500  0.12

La6Cd2Ni after structural relaxation. Source: Alexandria via LeMat-Bulk, functional PBE.

Properties
E_form: -3.57 kcal/mol of atoms

a b c (Å): 7.1752 7.0912 11.3696
angles (deg): 90.00 90.26 90.00
Sites, in units of the cell vectors:
La: 0.7892 0.6728 0.5266
La: 0.7108 0.1728 0.9734
Ni: 0.5000 0.5000 0.0000
La: 0.1726 0.2950 0.0372
La: 0.0785 0.9540 0.7331
La: 0.8274 0.7050 0.9628
La: 0.2892 0.8272 0.0266
La: 0.5785 0.5460 0.2331
Cd: 0.0490 0.5783 0.2496
Cd: 0.9510 0.4217 0.7504
Cd: 0.4510 0.0783 0.2504
La: 0.6726 0.2050 0.5372
Cd: 0.5490 0.9217 0.7496
La: 0.3274 0.7950 0.4628
La: 0.9215 0.0460 0.2669
Ni: 0.0000 0.0000 0.5000
La: 0.4215 0.4540 0.7669
La: 0.2108 0.3272 0.4734

Ni2MoC after structural relaxation. Source: Alexandria via LeMat-Bulk, functional PBE.

Properties
E_form: 1.68 kcal/mol of atoms

a b c (Å): 4.6523 3.0774 12.3386
angles (deg): 90.00 102.72 90.00
Sites, in units of the cell vectors:
C: 0.9421 0.0000 0.1278
Mo: 0.7687 0.5000 0.7833
Mo: 0.2313 0.0000 0.7167
Ni: 0.3240 0.0000 0.3974
Ni: 0.7430 0.5000 0.4546
Ni: 0.6760 0.0000 0.6026
Ni: 0.2570 0.0000 0.0454
C: 0.0579 0.0000 0.8722
Mo: 0.7687 0.0000 0.2833
Ni: 0.3240 0.5000 0.8974
Ni: 0.6760 0.5000 0.1026
Ni: 0.2570 0.5000 0.5454
C: 0.9421 0.5000 0.6278
Ni: 0.7430 0.0000 0.9546
C: 0.0579 0.5000 0.3722
Mo: 0.2313 0.5000 0.2167

Tb4Si6Ru7 after structural relaxation. Source: Alexandria via LeMat-Bulk, functional PBE.

Properties
ΔE_f (raw): -697.3 meV/atom

a b c (Å): 7.1667 7.1667 7.1667
angles (deg): 109.47 109.47 109.47
Sites, in units of the cell vectors:
Tb: 0.5000 0.5000 0.5000
Ru: 0.0000 0.0000 0.0000
Si: 0.0000 0.6774 0.6774
Si: 0.3226 0.0000 0.3226
Si: 0.6774 0.0000 0.6774
Ru: 0.7500 0.5000 0.2500
Ru: 0.5000 0.2500 0.7500
Tb: 0.5000 0.0000 0.0000
Tb: 0.0000 0.5000 0.0000
Si: 0.0000 0.3226 0.3226
Tb: 0.0000 0.0000 0.5000
Ru: 0.7500 0.2500 0.5000
Si: 0.3226 0.3226 0.0000
Si: 0.6774 0.6774 0.0000
Ru: 0.5000 0.7500 0.2500
Ru: 0.2500 0.5000 0.7500
Ru: 0.2500 0.7500 0.5000

Ce2PuSi2 after structural relaxation. Source: Alexandria via LeMat-Bulk, functional PBE.

Properties
ΔE_f (raw): -536.0 meV/atom

a b c (Å): 4.1696 7.5572 7.5572
angles (deg): 90.00 90.00 90.00
Site moments in Bohr magnetons follow the coordinates.
Sites, in units of the cell vectors:
Pu: 0.0000 0.5000 0.5000  5.47
Ce: 0.5000 0.8178 0.3178  0.73
Ce: 0.5000 0.1822 0.6822  0.73
Pu: 0.0000 0.0000 0.0000  5.47
Si: 0.0000 0.3876 0.8876  -0.04
Si: 0.0000 0.6124 0.1124  -0.04
Ce: 0.5000 0.3178 0.1822  0.73
Ce: 0.5000 0.6822 0.8178  0.73
Si: 0.0000 0.1124 0.3876  -0.04
Si: 0.0000 0.8876 0.6124  -0.04

DyCuPtRh after structural relaxation. Source: Alexandria via LeMat-Bulk, functional PBE.

Properties
E_form: -15.90 kcal/mol of atoms

a b c (Å): 3.8766 4.0685 4.2141
angles (deg): 90.00 90.00 90.00
Sites, in units of the cell vectors:
Pt: 0.0000 0.0000 0.0000
Rh: 0.0000 0.5000 0.5000
Dy: 0.5000 0.0000 0.5000
Cu: 0.5000 0.5000 0.0000

NaTcBr2 after structural relaxation. Source: Alexandria via LeMat-Bulk, functional PBE.

Properties
ΔE_f (raw): 69.3 meV/atom

a b c (Å): 5.6831 5.6831 8.2708
angles (deg): 69.91 69.91 90.00
Site moments in Bohr magnetons follow the coordinates.
Sites, in units of the cell vectors:
Br: 0.8750 0.9331 0.7500  0.03
Na: 0.5000 0.5000 0.0000  0.00
Br: 0.0669 0.6250 0.2500  0.03
Tc: 0.7500 0.2500 0.5000  1.55
Br: 0.6831 0.1250 0.2500  0.04
Br: 0.3750 0.3169 0.7500  0.05
Na: 0.2500 0.7500 0.5000  0.00
Tc: 0.0000 0.0000 0.0000  1.56

Mg3Ga2Pt2 after structural relaxation. Source: Alexandria via LeMat-Bulk, functional PBE.

Properties
E_form: -15.32 kcal/mol of atoms

a b c (Å): 5.3115 7.2762 13.3538
angles (deg): 90.00 90.00 90.00
Sites, in units of the cell vectors:
Ga: 0.9136 0.0994 0.7500
Mg: 0.1484 0.8969 0.5938
Ga: 0.3491 0.2500 0.5000
Ga: 0.0864 0.9006 0.2500
Pt: 0.3470 0.9583 0.0980
Mg: 0.8516 0.3969 0.5938
Mg: 0.8516 0.1031 0.0938
Pt: 0.3470 0.5417 0.9020
Mg: 0.1484 0.6031 0.0938
Pt: 0.3470 0.5417 0.5980
Pt: 0.6530 0.0417 0.5980
Mg: 0.8516 0.3969 0.9062
Ga: 0.6509 0.7500 0.5000
Pt: 0.6530 0.4583 0.4020
Pt: 0.6530 0.4583 0.0980
Ga: 0.3491 0.2500 0.0000
Mg: 0.5999 0.7526 0.7500
Pt: 0.6530 0.0417 0.9020
Mg: 0.4001 0.2474 0.2500
Mg: 0.5999 0.7474 0.2500
Ga: 0.0864 0.5994 0.7500
Mg: 0.1484 0.6031 0.4062
Ga: 0.6509 0.7500 0.0000
Pt: 0.3470 0.9583 0.4020
Mg: 0.8516 0.1031 0.4062
Mg: 0.4001 0.2526 0.7500
Ga: 0.9136 0.4006 0.2500
Mg: 0.1484 0.8969 0.9062

Tm2Ge2Rh5 after structural relaxation. Source: Alexandria via LeMat-Bulk, functional PBE.

Properties
E_form: -17.34 kcal/mol of atoms

a b c (Å): 4.1581 4.1581 8.8698
angles (deg): 90.00 90.00 90.00
Sites, in units of the cell vectors:
Ge: 0.5000 0.5000 0.8607
Ge: 0.5000 0.5000 0.1393
Tm: 0.0000 0.0000 0.0000
Rh: 0.5000 0.0000 0.2744
Rh: 0.5000 0.0000 0.7256
Rh: 0.0000 0.5000 0.7256
Rh: 0.0000 0.5000 0.2744
Rh: 0.5000 0.5000 0.5000
Tm: 0.0000 0.0000 0.5000

Tc2TePt after structural relaxation. Source: Alexandria via LeMat-Bulk, functional PBE.

Properties
ΔE_f (raw): 226.1 meV/atom

a b c (Å): 4.5583 4.5583 3.1330
angles (deg): 90.00 90.00 90.02
Sites, in units of the cell vectors:
Tc: 0.0000 0.0000 0.0000
Pt: 0.0000 0.5000 0.5000
Tc: 0.5000 0.5000 0.0000
Te: 0.5000 0.0000 0.5000

MgRe3S after structural relaxation. Source: Alexandria via LeMat-Bulk, functional PBE.

Properties
ΔE_f (raw): 2939.7 meV/atom

a b c (Å): 4.5332 4.5332 4.5332
angles (deg): 90.00 90.00 90.00
Site moments in Bohr magnetons follow the coordinates.
Sites, in units of the cell vectors:
Re: 0.0000 0.0000 0.5000  0.43
S: 0.5000 0.5000 0.5000  -0.05
Mg: 0.0000 0.0000 0.0000  0.00
Re: 0.0000 0.5000 0.0000  0.36
Re: 0.5000 0.0000 0.0000  0.30

Ta2AsOs2 after structural relaxation. Source: Alexandria via LeMat-Bulk, functional PBE.

Properties
E_form: 0.37 kcal/mol of atoms

a b c (Å): 7.6149 7.6149 3.0097
angles (deg): 90.00 90.00 90.00
Sites, in units of the cell vectors:
Ta: 0.3469 0.1531 0.5000
Os: 0.8623 0.6377 0.0000
Ta: 0.1531 0.6531 0.5000
As: 0.5000 0.5000 0.0000
Os: 0.6377 0.1377 0.0000
Ta: 0.6531 0.8469 0.5000
Ta: 0.8469 0.3469 0.5000
Os: 0.3623 0.8623 0.0000
As: 0.0000 0.0000 0.0000
Os: 0.1377 0.3623 0.0000

KLiH2 after structural relaxation. Source: Alexandria via LeMat-Bulk, functional PBE.

Properties
total DFT energy (no corrections): -2.694 eV/atom

a b c (Å): 5.7428 5.7428 5.4846
angles (deg): 58.43 58.43 90.00
Sites, in units of the cell vectors:
H: 0.5086 0.1250 0.2500
H: 0.3750 0.4914 0.7500
K: 0.7500 0.2500 0.5000
H: 0.2414 0.6250 0.2500
K: 0.0000 0.0000 0.0000
H: 0.8750 0.7586 0.7500
Li: 0.5000 0.5000 0.0000
Li: 0.2500 0.7500 0.5000

Y2NbAgC after structural relaxation. Source: Alexandria via LeMat-Bulk, functional PBE.

Properties
E_form: -3.09 kcal/mol of atoms

a b c (Å): 4.9816 4.9816 4.2442
angles (deg): 90.00 90.00 90.00
Site moments in Bohr magnetons follow the coordinates.
Sites, in units of the cell vectors:
Y: 0.0000 0.5000 0.0000  0.08
C: 0.0000 0.0000 0.0000  -0.02
Ag: 0.5000 0.5000 0.5000  0.01
Y: 0.5000 0.0000 0.0000  0.08
Nb: 0.0000 0.0000 0.5000  0.81

Ce4HoTl5 after structural relaxation. Source: Alexandria via LeMat-Bulk, functional PBE.

Properties
E_form: -5.91 kcal/mol of atoms

a b c (Å): 3.5353 3.5353 22.6246
angles (deg): 90.00 90.00 90.00
Site moments in Bohr magnetons follow the coordinates.
Sites, in units of the cell vectors:
Tl: 0.5000 0.5000 0.2967  0.00
Ce: 0.0000 0.0000 0.1947  -0.94
Ce: 0.0000 0.0000 0.8053  -0.94
Ho: 0.0000 0.0000 0.0000  0.16
Ce: 0.0000 0.0000 0.6013  0.94
Tl: 0.5000 0.5000 0.0944  0.01
Tl: 0.5000 0.5000 0.9056  0.01
Tl: 0.5000 0.5000 0.7033  0.00
Ce: 0.0000 0.0000 0.3987  0.94
Tl: 0.5000 0.5000 0.5000  0.00